# MoIr2OsRu4 (PBE-GGA, optimized geometry)
# **Crystal system**: orthorhombic
# **E_form**: 1.102 eV/atom
data_MoIr2OsRu4
_symmetry_space_group_name_H-M 'P 1'
_symmetry_Int_Tables_number 1
_cell_length_a 7.176
_cell_length_b 7.176
_cell_length_c 7.379
_cell_angle_alpha 120.94
_cell_angle_beta 120.94
_cell_angle_gamma 87.83
loop_
_symmetry_equiv_pos_as_xyz
'x,y,z'
loop_
_atom_site_label
_atom_site_type_symbol
_atom_site_fract_x
_atom_site_fract_y
_atom_site_fract_z
Mo1 Mo 0.500 0.500 0.500
Mo2 Mo 0.000 0.000 0.000
Ir1 Ir 0.500 0.000 0.000
Ir2 Ir 0.500 0.000 0.500
Ir3 Ir 0.000 0.000 0.500
Ir4 Ir 0.500 0.500 0.000
Os1 Os 0.000 0.500 0.000
Os2 Os 0.000 0.500 0.500
Ru1 Ru 0.242 0.751 0.997
Ru2 Ru 0.749 0.258 0.503
Ru3 Ru 0.251 0.742 0.497
Ru4 Ru 0.758 0.249 0.003
Ru5 Ru 0.755 0.745 0.010
Ru6 Ru 0.755 0.745 0.490
Ru7 Ru 0.245 0.255 0.510
Ru8 Ru 0.245 0.255 0.990



# KAsOs2 (PBE-GGA, optimized geometry)
# **Crystal system**: tetragonal
# **E_form**: 0.928 eV/atom
data_KAsOs2
_symmetry_space_group_name_H-M 'P 1'
_symmetry_Int_Tables_number 1
_cell_length_a 4.889
_cell_length_b 4.889
_cell_length_c 9.217
_cell_angle_alpha 74.62
_cell_angle_beta 74.62
_cell_angle_gamma 90.00
loop_
_symmetry_equiv_pos_as_xyz
'x,y,z'
loop_
_atom_site_label
_atom_site_type_symbol
_atom_site_fract_x
_atom_site_fract_y
_atom_site_fract_z
As1 As 0.000 0.000 0.000
As2 As 0.750 0.250 0.500
Os1 Os 0.852 0.125 0.250
Os2 Os 0.898 0.625 0.250
Os3 Os 0.375 0.148 0.750
Os4 Os 0.875 0.102 0.750
K1 K 0.500 0.500 0.000
K2 K 0.250 0.750 0.500



# TaCu2Mo (PBE-GGA, optimized geometry)
# **Crystal system**: tetragonal
# **E above lowest polymorph**: 506 meV/atom
# **E_form**: 0.614 eV/atom
data_TaCu2Mo
_symmetry_space_group_name_H-M 'P 1'
_symmetry_Int_Tables_number 1
_cell_length_a 7.002
_cell_length_b 7.002
_cell_length_c 5.563
_cell_angle_alpha 51.00
_cell_angle_beta 51.00
_cell_angle_gamma 90.00
loop_
_symmetry_equiv_pos_as_xyz
'x,y,z'
loop_
_atom_site_label
_atom_site_type_symbol
_atom_site_fract_x
_atom_site_fract_y
_atom_site_fract_z
Mo1 Mo 0.500 0.500 0.000
Mo2 Mo 0.250 0.750 0.500
Cu1 Cu 0.620 0.125 0.250
Cu2 Cu 0.130 0.625 0.250
Cu3 Cu 0.375 0.380 0.750
Cu4 Cu 0.875 0.870 0.750
Ta1 Ta 0.000 0.000 0.000
Ta2 Ta 0.750 0.250 0.500



# Ce3In2Au3 (PBE-GGA, optimized geometry)
# **Crystal system**: hexagonal
# **E_form**: -0.537 eV/atom
data_Ce3In2Au3
_symmetry_space_group_name_H-M 'P 1'
_symmetry_Int_Tables_number 1
_cell_length_a 6.175
_cell_length_b 8.932
_cell_length_c 8.932
_cell_angle_alpha 120.00
_cell_angle_beta 90.00
_cell_angle_gamma 90.00
loop_
_symmetry_equiv_pos_as_xyz
'x,y,z'
loop_
_atom_site_label
_atom_site_type_symbol
_atom_site_fract_x
_atom_site_fract_y
_atom_site_fract_z
Ce1 Ce 0.750 0.302 0.000
Ce2 Ce 0.750 0.698 0.698
Ce3 Ce 0.750 0.000 0.302
Ce4 Ce 0.250 0.698 0.000
Ce5 Ce 0.250 0.302 0.302
Ce6 Ce 0.250 0.000 0.698
In1 In 0.000 0.333 0.667
In2 In 0.500 0.667 0.333
In3 In 0.000 0.667 0.333
In4 In 0.500 0.333 0.667
Au1 Au 0.750 0.643 0.000
Au2 Au 0.750 0.357 0.357
Au3 Au 0.750 0.000 0.643
Au4 Au 0.250 0.357 0.000
Au5 Au 0.250 0.643 0.643
Au6 Au 0.250 0.000 0.357



# Ca3Mg (PBE-GGA, optimized geometry)
# **Crystal system**: cubic
# **E_form**: -0.012 eV/atom
data_Ca3Mg
_symmetry_space_group_name_H-M 'P 1'
_symmetry_Int_Tables_number 1
_cell_length_a 5.263
_cell_length_b 5.263
_cell_length_c 5.263
_cell_angle_alpha 90.00
_cell_angle_beta 90.00
_cell_angle_gamma 90.00
loop_
_symmetry_equiv_pos_as_xyz
'x,y,z'
loop_
_atom_site_label
_atom_site_type_symbol
_atom_site_fract_x
_atom_site_fract_y
_atom_site_fract_z
Ca1 Ca 0.000 0.000 0.000
Ca2 Ca 0.000 0.500 0.500
Ca3 Ca 0.500 0.000 0.500
Mg1 Mg 0.500 0.500 0.000



# CeNdRh (PBE-GGA, optimized geometry)
# **Crystal system**: tetragonal
# **E above lowest polymorph**: 58 meV/atom
# **E_form**: -0.422 eV/atom
data_CeNdRh
_symmetry_space_group_name_H-M 'P 1'
_symmetry_Int_Tables_number 1
_cell_length_a 3.622
_cell_length_b 3.622
_cell_length_c 6.071
_cell_angle_alpha 107.36
_cell_angle_beta 107.36
_cell_angle_gamma 90.00
loop_
_symmetry_equiv_pos_as_xyz
'x,y,z'
loop_
_atom_site_label
_atom_site_type_symbol
_atom_site_fract_x
_atom_site_fract_y
_atom_site_fract_z
Nd1 Nd 0.007 0.007 0.015
Rh1 Rh 0.687 0.687 0.374
Ce1 Ce 0.305 0.305 0.611